[1]
# Dy8ErTm2

A relaxed Dy8ErTm2 crystal (PBE, Alexandria).

Output
Its density of states at the Fermi level is 14.22 states/eV/cell. Its space group is No. 12. Its formation enthalpy at 0 K is 166 meV/atom. The volume is 351 Å³/f.u.

Unit cell a=5.912 b=9.541 c=9.541 alpha=43.71 beta=72.08 gamma=72.08
Fractional coordinates of all 11 atoms:
1 Dy 0.204 0.798 0.798
2 Dy 0.796 0.202 0.202
3 Dy 0.370 0.350 0.905
4 Dy 0.759 0.501 0.501
5 Tm 0.188 0.311 0.311
6 Dy 0.241 0.499 0.499
7 Er 0.000 0.000 0.000
8 Dy 0.370 0.905 0.350
9 Tm 0.812 0.689 0.689
10 Dy 0.630 0.095 0.650
11 Dy 0.630 0.650 0.095



[2]
# KZn2MoOs

A relaxed KZn2MoOs crystal (PBE, Alexandria).

Output
Its density of states at the Fermi level is 2.06 states/eV/cell. Its space group is No. 123. Its formation enthalpy at 0 K is 717 meV/atom. The volume is 121 Å³/f.u.

Unit cell a=5.023 b=4.805 c=5.023 alpha=90.00 beta=90.00 gamma=90.00
Fractional coordinates of all 5 atoms:
1 Mo 0.000 0.500 0.000
2 Zn 0.500 0.000 0.000
3 Zn 0.000 0.000 0.500
4 K 0.500 0.500 0.500
5 Os 0.000 0.000 0.000



Theoretical density for the records above, in order: 8.54; 6.25 g/cm3